[1]
The following is a GGA-PBE calculation of crystalline Ce2LuSb at its relaxed geometry, from the Alexandria database.

abc: 4.5270 4.5270 5.0882
angles: 90.00 90.00 90.00
With the nearest neighbours (Å) after each atom.
Sites, in units of the cell vectors:
Ce1 0.0000 0.5000 0.0000  4 Ce 3.20, 4 Sb 3.41, 4 Lu 3.41
Ce2 0.5000 0.0000 0.0000  4 Ce 3.20, 4 Sb 3.41, 4 Lu 3.41
Lu1 0.0000 0.0000 0.5000  4 Sb 3.20, 8 Ce 3.41
Sb1 0.5000 0.5000 0.5000  4 Lu 3.20, 8 Ce 3.41

Summary:
polymorph energy (0 for the lowest one)	0.0	kJ per mole of atoms
E	-5.629	eV/atom
space group	No. 123
total magnetic moment	0.9	μB per formula unit
formation energy without anion corrections	-502	meV/atom

***

[2]
The following is a GGA-PBE calculation of crystalline CeLuSc at its relaxed geometry, from the Alexandria database.

abc: 7.6375 7.6375 7.6375
angles: 154.43 154.43 36.48
With the nearest neighbours (Å) after each atom.
Sites, in units of the cell vectors:
Ce1 0.0000 0.0000 0.0000  4 Sc 3.34, 4 Ce 3.38, 4 Lu 3.46
Lu1 0.3279 0.3279 0.0000  4 Lu 3.38, 4 Sc 3.40, 4 Ce 3.46
Sc1 0.6613 0.6613 0.0000  4 Ce 3.34, 4 Sc 3.38, 4 Lu 3.40

Summary:
polymorph energy (0 for the lowest one)	0.0	kJ per mole of atoms
E	-5.513	eV/atom
E_form	0.082	eV/atom
space group	No. 107
total magnetic moment	0.6	μB per formula unit

***

[3]
The following is a GGA-PBE calculation of crystalline CeLu2Sc at its relaxed geometry, from the Alexandria database.

abc: 3.3865 3.3865 9.8494
angles: 90.00 90.00 90.00
With the nearest neighbours (Å) after each atom.
Sites, in units of the cell vectors:
Ce1 0.0000 0.0000 0.0000  4 Ce 3.39, 8 Lu 3.50
Lu1 0.5000 0.5000 0.2591  4 Sc 3.37, 4 Lu 3.39, 4 Ce 3.50
Lu2 0.5000 0.5000 0.7409  4 Sc 3.37, 4 Lu 3.39, 4 Ce 3.50
Sc1 0.0000 0.0000 0.5000  8 Lu 3.37, 4 Sc 3.39

Summary:
polymorph energy (0 for the lowest one)	0.0	kJ per mole of atoms
E	-5.248	eV/atom
E_form	0.079	eV/atom
space group	No. 123
total magnetic moment	0.8	μB per formula unit

***

[4]
The following is a GGA-PBE calculation of crystalline Ce4LuSc at its relaxed geometry, from the Alexandria database.

abc: 6.2020 6.2020 6.2020
angles: 60.00 60.00 60.00
With the nearest neighbours (Å) after each atom.
Sites, in units of the cell vectors:
Ce1 0.3761 0.3761 0.3761  6 Ce 3.07-3.13
Ce2 0.3761 0.3761 0.8717  6 Ce 3.07-3.13
Ce3 0.3761 0.8717 0.3761  6 Ce 3.07-3.13
Ce4 0.8717 0.3761 0.3761  6 Ce 3.07-3.13
Lu1 0.0000 0.0000 0.0000  12 Ce 3.64, 4 Sc 3.80
Sc1 0.7500 0.7500 0.7500  12 Ce 3.63, 4 Lu 3.80

Summary:
E	-5.518	eV/atom
E_form	0.246	eV/atom
space group	No. 216
total magnetic moment	3.5	μB per formula unit

***

[5]
The following is a GGA-PBE calculation of crystalline Ce2LuSc at its relaxed geometry, from the Alexandria database.

abc: 4.7664 4.7664 4.9017
angles: 90.00 90.00 90.00
With the nearest neighbours (Å) after each atom.
Sites, in units of the cell vectors:
Ce1 0.0000 0.5000 0.0000  4 Ce 3.37, 4 Sc 3.42, 4 Lu 3.42
Ce2 0.5000 0.0000 0.0000  4 Ce 3.37, 4 Sc 3.42, 4 Lu 3.42
Lu1 0.0000 0.0000 0.5000  4 Sc 3.37, 8 Ce 3.42
Sc1 0.5000 0.5000 0.5000  4 Lu 3.37, 8 Ce 3.42

Summary:
polymorph energy (0 for the lowest one)	0.1	kJ per mole of atoms
E	-5.580	eV/atom
E_form	0.100	eV/atom
space group	No. 123
total magnetic moment	1.4	μB per formula unit

***

[6]
The following is a GGA-PBE calculation of crystalline CeLu2Sc at its relaxed geometry, from the Alexandria database.

abc: 5.4564 5.4564 5.4564
angles: 60.00 60.00 60.00
With the nearest neighbours (Å) after each atom.
Sites, in units of the cell vectors:
Ce1 0.0000 0.0000 0.0000  8 Lu 3.34
Lu1 0.2500 0.2500 0.2500  4 Ce 3.34, 4 Sc 3.34
Lu2 0.7500 0.7500 0.7500  4 Ce 3.34, 4 Sc 3.34
Sc1 0.5000 0.5000 0.5000  8 Lu 3.34

Summary:
polymorph energy (0 for the lowest one)	6.2	kJ per mole of atoms
E	-5.184	eV/atom
E_form	0.143	eV/atom
space group	No. 225
total magnetic moment	0.9	μB per formula unit